4
Lattice="3.376 0.000 0.000 1.688 2.923 0.000 1.688 0.974 5.755" Properties=species:S:1:pos:R:3 comment="LuPaH2 | Alexandria | GGA-PBE | optimized geometry" sg="No. 166" pbc="T T T"
H 5.063 2.923 4.323
H 1.688 0.974 1.432
Lu 0.000 0.000 0.000
Pa 3.376 1.949 2.877

***

5
Lattice="4.754 0.000 0.000 0.000 4.754 0.000 0.000 0.000 4.754" Properties=species:S:1:pos:R:3 comment="Lu3HPb | Alexandria | GGA-PBE | optimized geometry" sg="No. 221" pbc="T T T"
H 0.000 0.000 0.000
Lu 0.000 2.377 0.000
Lu 2.377 0.000 0.000
Lu 0.000 0.000 2.377
Pb 2.377 2.377 2.377

***

4
Lattice="3.497 0.000 0.000 1.749 3.029 0.000 1.749 1.010 7.905" Properties=species:S:1:pos:R:3 comment="Lu2HPb | Alexandria | GGA-PBE | optimized geometry" sg="No. 166" pbc="T T T"
Pb 3.497 2.019 3.952
Lu 1.749 1.010 1.317
Lu 5.246 3.029 6.588
H 0.000 0.000 0.000

***

5
Lattice="-2.430 2.513 1.060 -1.729 -0.321 -3.202 -2.110 -2.632 1.403" Properties=species:S:1:pos:R:3 comment="LuH3Pd | Alexandria | GGA-PBE | optimized geometry" sg="No. 221" pbc="T T T"
H -1.055 -1.316 0.702
H -1.215 1.257 0.530
H -0.865 -0.161 -1.601
Lu -3.135 -0.220 -0.369
Pd 0.000 0.000 0.000

***

80
Lattice="-8.998 -1.540 -4.269 7.220 -3.797 -5.918 0.279 -4.556 8.985" Properties=species:S:1:pos:R:3 comment="Lu3H12Pd5 | Alexandria | GGA-PBE | optimized geometry" sg="No. 230" pbc="T T T"
Pd -4.499 -0.770 -2.135
Pd 3.750 -4.176 1.534
Pd 1.653 -2.755 -0.507
Pd 0.764 -5.424 -5.600
Pd 0.036 -7.797 0.755
Pd -4.359 -3.048 2.358
Pd 4.395 -4.749 -1.603
Pd -0.749 -4.947 -0.601
Pd -5.894 -5.145 0.400
Pd -1.534 -2.096 -1.957
Pd 4.103 -4.277 -5.122
Pd -5.602 -5.617 3.920
Pd -0.889 -2.669 -5.094
Pd 3.610 -1.898 -2.959
Pd -2.131 -5.237 -3.531
Pd -2.262 -4.469 4.398
Pd 0.140 -2.278 4.493
Pd -3.151 -7.138 -0.696
Pd 0.000 0.000 0.000
Pd 0.633 -4.656 2.329
H 3.013 -3.255 -4.124
H 1.187 -6.089 -3.985
H 1.848 -7.640 -2.183
H -5.894 -4.242 -3.717
H 0.570 -2.916 2.771
H 2.878 -5.377 4.855
H -0.638 -5.006 7.401
H -2.685 -3.804 2.783
H -0.817 -4.713 1.269
H 1.777 -7.712 1.190
H -0.760 -3.808 5.129
H -2.059 -8.161 -1.691
H 0.699 -3.682 -5.161
H -7.426 -4.601 1.167
H 3.961 -8.171 2.246
H 2.165 -5.197 1.561
H -3.276 -2.182 -2.392
H -4.511 -6.639 2.922
H -4.393 -4.483 1.135
H -0.393 -2.513 -3.281
H -5.459 -1.723 -3.448
H -0.738 -6.086 -6.332
H 0.613 -5.800 3.715
H 1.035 -4.402 -0.876
H -0.681 -5.180 -2.471
H -2.111 -4.093 -4.917
H -1.106 -7.380 2.079
H -1.551 -3.240 -0.571
H -3.411 -7.708 0.989
H 1.912 -2.185 -2.191
H -0.860 -4.887 -8.603
H 4.396 -5.651 2.515
H 5.845 -4.188 -4.689
H 5.927 -5.293 -2.369
H -2.069 -6.978 -3.973
H -2.198 -6.211 3.959
H -2.533 -5.491 -0.326
H -5.636 -4.577 -1.285
H -4.377 -4.516 -6.057
H 0.052 -6.653 -0.631
H -3.347 -2.253 0.981
H -5.313 -2.042 -1.005
H -3.663 -4.696 -2.764
H -7.344 -5.705 3.487
H 4.138 -5.316 0.083
H 3.814 -7.852 -0.197
H 0.560 -1.733 0.489
H 2.894 -5.410 -2.337
Lu -6.901 -2.962 -2.229
Lu 0.925 -5.128 5.849
Lu -4.006 -3.149 -4.298
Lu -0.256 -7.325 -2.764
Lu 2.216 -6.273 -0.424
Lu -3.714 -3.621 -0.778
Lu 2.508 -6.745 3.096
Lu -1.242 -2.568 1.562
Lu -2.707 -5.804 1.851
Lu -2.423 -4.765 -7.051
Lu 1.208 -4.090 -3.053
Lu 5.403 -6.932 1.027

***

6
Lattice="-0.952 -3.745 -3.369 0.637 -2.966 4.133 -5.325 0.374 1.090" Properties=species:S:1:pos:R:3 comment="PmLuH | Alexandria | GGA-PBE | optimized geometry" sg="No. 63" pbc="T T T"
H -3.951 -2.977 2.143
H -1.689 -3.360 -0.290
Lu -4.369 -3.182 0.170
Lu -1.271 -3.155 1.683
Pm -3.514 -2.762 4.210
Pm -2.127 -3.575 -2.356

***

4
Lattice="3.403 0.000 0.000 0.000 3.403 0.000 0.000 0.000 8.491" Properties=species:S:1:pos:R:3 comment="Pm2LuH | Alexandria | GGA-PBE | optimized geometry" sg="No. 123" pbc="T T T"
Pm 0.000 0.000 1.639
Pm 0.000 0.000 6.852
H 1.701 1.701 0.000
Lu 1.701 1.701 4.245

***

80
Lattice="11.451 0.000 0.000 -3.817 10.796 0.000 -3.817 -5.398 9.349" Properties=species:S:1:pos:R:3 comment="Pm5Lu3H12 | Alexandria | GGA-PBE | optimized geometry" sg="No. 230" pbc="T T T"
H -3.617 4.028 8.672
H 1.769 1.328 8.745
H -2.108 2.600 6.200
H 1.709 6.825 3.827
H -4.479 3.231 6.804
H 7.434 1.370 0.677
H 5.925 2.797 3.150
H 7.774 5.538 1.452
H 3.095 -1.078 3.222
H 5.003 6.029 5.352
H 4.479 -0.589 5.279
H 6.912 0.631 3.997
H 0.199 3.971 3.827
H 2.048 4.070 0.604
H -2.108 -4.028 8.672
H 6.447 -0.447 2.130
H -1.186 -0.631 3.997
H 8.296 2.167 2.545
H 2.108 -1.427 5.523
H 2.631 1.078 3.222
H -4.016 7.998 3.150
H -0.140 4.211 0.848
H -1.769 0.141 7.897
H 7.833 -2.600 6.200
H -0.140 6.726 0.604
H 1.246 0.589 5.279
H -3.154 9.217 1.525
H 3.957 1.187 8.502
H 3.617 1.427 5.523
H -3.957 -0.141 7.897
H 5.585 5.257 1.452
H -1.246 3.819 7.824
H 6.971 -3.819 7.824
H -1.246 -3.231 6.804
H 5.925 9.426 0.677
H 1.186 4.319 6.127
H -2.631 5.845 7.220
H -3.095 4.767 5.352
H 1.769 -1.187 8.502
H 5.063 1.578 1.525
H 2.571 4.809 4.070
H -0.722 0.447 2.130
H 2.048 6.585 0.848
H 5.063 8.628 2.545
H -0.663 5.987 4.070
H 4.539 4.950 7.220
H 3.957 -1.328 8.745
H 0.722 6.476 6.127
Pm 1.908 2.699 4.675
Pm 4.771 -3.374 8.181
Pm 3.817 -2.699 4.675
Pm 2.863 2.024 1.169
Pm 0.954 -2.699 7.012
Pm 3.817 5.398 0.000
Pm -1.908 -2.699 4.675
Pm 5.725 0.000 0.000
Pm 6.680 -0.675 5.843
Pm 2.863 8.097 2.337
Pm 0.000 0.000 0.000
Pm -0.954 0.675 5.843
Pm -3.817 2.699 4.675
Pm -0.954 2.699 2.337
Pm 4.771 2.699 7.012
Pm -1.908 5.398 0.000
Pm -2.863 6.073 3.506
Pm 4.771 4.723 3.506
Pm 0.954 3.374 8.181
Pm -0.954 8.772 1.169
Lu -2.863 2.024 8.181
Lu 0.954 -0.675 3.506
Lu 6.680 7.422 1.169
Lu 6.680 3.374 1.169
Lu 4.771 0.675 3.506
Lu -2.863 -2.024 8.181
Lu 2.863 0.000 7.012
Lu 0.954 5.398 2.337
Lu 8.588 0.000 2.337
Lu -0.954 4.723 5.843
Lu 2.863 6.073 5.843
Lu -4.771 5.398 7.012

***

5
Lattice="5.082 0.000 0.000 0.000 5.082 0.000 0.000 0.000 5.082" Properties=species:S:1:pos:R:3 comment="Pm3LuH | Alexandria | GGA-PBE | optimized geometry" sg="No. 221" pbc="T T T"
Pm 0.000 0.000 2.541
Pm 0.000 2.541 0.000
Pm 2.541 0.000 0.000
Lu 2.541 2.541 2.541
H 0.000 0.000 0.000

***

4
Lattice="-2.058 2.822 0.006 -2.360 0.446 -2.536 -5.322 -1.724 2.245" Properties=species:S:1:pos:R:3 comment="PmLuH2 | Alexandria | GGA-PBE | optimized geometry" sg="No. 166" pbc="T T T"
H -2.362 0.439 -0.130
H -7.378 1.104 -0.154
Lu 0.000 0.000 0.000
Pm -4.870 0.772 -0.142

***

4
Lattice="3.423 0.000 0.000 1.712 2.965 0.000 1.712 0.988 9.376" Properties=species:S:1:pos:R:3 comment="PmLu2H | Alexandria | GGA-PBE | optimized geometry" sg="No. 166" pbc="T T T"
Lu 1.712 0.988 5.983
Lu 5.135 2.965 3.393
H 3.423 1.976 4.688
Pm 0.000 0.000 0.000

***

5
Lattice="4.923 0.000 0.000 0.000 4.923 0.000 0.000 0.000 4.923" Properties=species:S:1:pos:R:3 comment="PmLu3H | Alexandria | GGA-PBE | optimized geometry" sg="No. 221" pbc="T T T"
H 0.000 0.000 0.000
Pm 2.462 2.462 2.462
Lu 0.000 2.462 0.000
Lu 2.462 0.000 0.000
Lu 0.000 0.000 2.462

***

80
Lattice="11.356 0.000 0.000 -3.785 10.706 0.000 -3.785 -5.353 9.272" Properties=species:S:1:pos:R:3 comment="Pr3Lu5H12 | Alexandria | GGA-PBE | optimized geometry" sg="No. 230" pbc="T T T"
H 7.922 5.408 1.506
H -2.458 5.940 7.277
H -0.742 6.133 3.931
H 2.068 -1.649 5.436
H 7.395 1.207 0.489
H 5.853 2.856 3.346
H -3.961 7.850 3.346
H 5.112 6.009 5.125
H 2.458 1.242 3.130
H -3.220 4.698 5.125
H 4.137 1.276 8.471
H -3.610 4.146 8.783
H 1.151 0.780 5.341
H -1.541 0.055 7.766
H 7.005 0.656 4.147
H -1.151 -3.014 6.631
H -0.352 4.077 0.800
H 4.137 -1.331 8.567
H 8.312 2.339 2.641
H -2.068 2.497 5.926
H -1.151 3.794 7.982
H 4.351 4.766 7.277
H -4.137 -0.055 7.766
H 6.243 -0.587 1.995
H -0.565 0.587 1.995
H 0.565 6.595 6.142
H 3.220 -1.242 3.130
H 4.936 8.367 2.641
H 5.326 5.298 1.506
H 4.936 1.559 1.290
H -4.527 3.014 6.631
H -0.352 6.685 0.705
H 4.527 -0.780 5.341
H 3.610 1.649 5.436
H 6.829 -3.794 7.982
H 1.327 4.111 6.142
H 2.245 4.022 0.705
H 1.541 1.331 8.567
H 0.176 3.704 3.835
H -3.044 9.147 1.290
H 1.541 -1.276 8.471
H -1.327 -0.656 4.147
H 2.634 4.573 3.931
H 7.746 -2.497 5.926
H -2.068 -4.146 8.783
H 2.245 6.630 0.800
H 5.853 9.500 0.489
H 1.717 7.003 3.835
Lu -0.946 0.669 5.795
Lu 4.732 4.684 3.477
Lu 0.000 0.000 0.000
Lu 5.678 0.000 0.000
Lu 3.785 5.353 0.000
Lu -1.893 -2.677 4.636
Lu 1.893 2.677 4.636
Lu -0.946 8.699 1.159
Lu -2.839 6.022 3.477
Lu -3.785 2.677 4.636
Lu 2.839 2.007 1.159
Lu 2.839 8.030 2.318
Lu 0.946 -2.677 6.954
Lu 4.732 -3.346 8.113
Lu 6.624 -0.669 5.795
Lu -0.946 2.677 2.318
Lu 0.946 3.346 8.113
Lu 3.785 -2.677 4.636
Lu -1.893 5.353 0.000
Lu 4.732 2.677 6.954
Pr -2.839 -2.007 8.113
Pr 2.839 6.022 5.795
Pr 6.624 7.361 1.159
Pr -0.946 4.684 5.795
Pr 8.517 0.000 2.318
Pr -4.732 5.353 6.954
Pr 6.624 3.346 1.159
Pr 4.732 0.669 3.477
Pr 0.946 5.353 2.318
Pr 0.946 -0.669 3.477
Pr 2.839 0.000 6.954
Pr -2.839 2.007 8.113

***

4
Lattice="3.437 0.000 0.000 1.719 2.977 0.000 1.719 0.992 9.423" Properties=species:S:1:pos:R:3 comment="PrLu2H | Alexandria | GGA-PBE | optimized geometry" sg="No. 166" pbc="T T T"
Pr 0.000 0.000 0.000
Lu 1.719 0.992 6.006
Lu 5.156 2.977 3.417
H 3.437 1.984 4.712

***

4
Lattice="-0.419 -2.548 2.774 2.594 -0.248 2.753 -2.264 3.012 5.014" Properties=species:S:1:pos:R:3 comment="PrLuH2 | Alexandria | GGA-PBE | optimized geometry" sg="No. 166" pbc="T T T"
H -1.178 1.579 3.861
H 1.089 -1.363 6.680
Pr -0.045 0.108 5.271
Lu 0.000 0.000 0.000

***

5
Lattice="-1.730 3.463 -3.412 -3.639 -3.324 -1.529 -3.225 1.894 3.556" Properties=species:S:1:pos:R:3 comment="Pr3LuH | Alexandria | GGA-PBE | optimized geometry" sg="No. 221" pbc="T T T"
Pr -1.819 -1.662 -0.765
Pr -1.612 0.947 1.778
Pr -0.865 1.731 -1.706
H 0.000 0.000 0.000
Lu -4.297 1.016 -0.693

***

Total DFT energy (no corrections) values, unit eV/atom, following the record order: -5.41, -4.42, -4.33, -4.34, -4.32, -3.96, -4.26, -4.30, -4.59, -4.34, -4.30, -4.48, -4.30, -4.32, -4.44, -4.60.
Volume values, unit Å³/atom, following the record order: 14.2, 21.5, 20.9, 9.8, 9.8, 23.7, 24.6, 14.4, 26.3, 15.0, 23.8, 23.9, 14.1, 24.1, 18.3, 27.5.